1.
LiZrSiRh | Alexandria via LeMat-Bulk | PBE-GGA | relaxed; raw formation energy = -777 meV per atom
1.0
4.380 0.000 0.000
2.190 3.793 0.000
2.190 1.264 3.576
Zr Rh Si Li
1 1 1 1
Direct
0.250 0.250 0.250
0.500 0.500 0.500
0.750 0.750 0.750
0.000 0.000 0.000

---

2.
Li2Sm3Rh3 | Alexandria via LeMat-Bulk | PBE-GGA | relaxed; formation enthalpy at 0 K = -493 meV per atom; N(E_F) = 0.58 states/eV/atom
1.0
-0.354 4.542 3.306
-8.266 0.311 -1.313
3.058 -4.432 6.416
Rh Sm Li
6 6 4
Direct
0.750 0.000 0.623
0.250 0.377 0.000
0.750 0.377 0.377
0.250 0.000 0.377
0.750 0.623 0.000
0.250 0.623 0.623
0.750 0.286 0.000
0.250 0.000 0.714
0.750 0.714 0.714
0.250 0.286 0.286
0.250 0.714 0.000
0.750 0.000 0.286
0.500 0.333 0.667
0.500 0.667 0.333
0.000 0.667 0.333
0.000 0.333 0.667

---

Energy values (in eV/atom) by entry order: -6.59, -5.50.